# 1
Here is Ce3Sm3DyTe8 after structural relaxation from the Alexandria database. Energies are from GGA-PBE.

Structure (CIF):
```
data_Ce3Sm3DyTe8
_chemical_formula_sum 'Ce3 Sm3 Dy1 Te8'
_symmetry_space_group_name_H-M 'P 1'
_symmetry_Int_Tables_number 1
_symmetry_space_group_name_Hall 'P 1'
_cell_length_a 8.905
_cell_length_b 8.904
_cell_length_c 8.903
_cell_angle_alpha 120.01
_cell_angle_beta 90.00
_cell_angle_gamma 120.00
loop_
_atom_site_label
_atom_site_type_symbol
_atom_site_fract_x
_atom_site_fract_y
_atom_site_fract_z
Dy1 Dy 0.000 0.000 0.500
Ce1 Ce 0.500 0.000 0.500
Ce2 Ce 0.500 0.500 0.500
Ce3 Ce 0.000 0.500 0.500
Sm1 Sm 0.000 0.000 0.000
Sm2 Sm 0.000 0.500 0.000
Sm3 Sm 0.500 0.500 0.000
Te1 Te 0.248 0.997 0.247
Te2 Te 0.249 0.498 0.246
Te3 Te 0.250 0.003 0.753
Te4 Te 0.751 0.502 0.754
Te5 Te 0.750 0.997 0.247
Te6 Te 0.750 0.500 0.247
Te7 Te 0.250 0.500 0.753
Te8 Te 0.752 0.003 0.753
```

Results
formation energy without anion corrections	-21.2	eV per formula unit
space group	R-3m (166)

# 2
Here is Ta3V2Os after structural relaxation from the Alexandria database. Energies are from GGA-PBE.

Structure (CIF):
```
data_Ta3V2Os
_chemical_formula_sum 'Ta3 V2 Os1'
_symmetry_space_group_name_H-M 'P 1'
_symmetry_Int_Tables_number 1
_symmetry_space_group_name_Hall 'P 1'
_cell_length_a 3.145
_cell_length_b 4.523
_cell_length_c 7.085
_cell_angle_alpha 108.61
_cell_angle_beta 90.00
_cell_angle_gamma 90.00
loop_
_atom_site_label
_atom_site_type_symbol
_atom_site_fract_x
_atom_site_fract_y
_atom_site_fract_z
Ta1 Ta 0.500 0.168 0.336
Ta2 Ta 0.500 0.832 0.664
Ta3 Ta 0.500 0.500 0.000
V1 V 0.000 0.333 0.667
V2 V 0.000 0.667 0.333
Os1 Os 0.000 0.000 0.000
```

Results
space group	Cmmm (65)
formation energy	-0.2150	eV per atom

# 3
Here is SrCdAsH2 after structural relaxation from the Alexandria database. Energies are from GGA-PBE.

Structure (CIF):
```
data_SrCdAsH2
_chemical_formula_sum 'Sr2 Cd2 As2 H4'
_symmetry_space_group_name_H-M 'P 1'
_symmetry_Int_Tables_number 1
_symmetry_space_group_name_Hall 'P 1'
_cell_length_a 4.400
_cell_length_b 6.096
_cell_length_c 6.828
_cell_angle_alpha 90.00
_cell_angle_beta 90.00
_cell_angle_gamma 111.15
loop_
_atom_site_label
_atom_site_type_symbol
_atom_site_fract_x
_atom_site_fract_y
_atom_site_fract_z
H1 H 0.830 0.661 0.064
H2 H 0.830 0.661 0.436
H3 H 0.170 0.339 0.564
H4 H 0.170 0.339 0.936
Cd1 Cd 0.000 0.000 0.000
Cd2 Cd 0.000 0.000 0.500
As1 As 0.560 0.121 0.250
As2 As 0.440 0.879 0.750
Sr1 Sr 0.281 0.563 0.250
Sr2 Sr 0.719 0.437 0.750
```

Results
space group	Cmcm (63)
energy	-30.9	eV per cell

| no. | DOS at the Fermi energy (states/eV/cell) |
| --- | --- |
| 1 | 24.2 |
| 2 | 7.1 |
| 3 | 2.3 |